1.
! PuSi2Pd2 SCAN single point on PBEsol structure; values from VASP
&SYSTEM
  ibrav = 0, nat = 5, ntyp = 3
/
ATOMIC_SPECIES
Pu 244.00 Pu.upf
Si 28.09 Si.upf
Pd 106.42 Pd.upf
CELL_PARAMETERS angstrom
-2.0155 2.0155 5.0874
2.0155 -2.0155 5.0874
2.0155 2.0155 -5.0874
ATOMIC_POSITIONS crystal
Pu 0.0000 0.0000 0.0000
Si 0.3866 0.3866 0.0000
Si 0.6134 0.6134 0.0000
Pd 0.2500 0.7500 0.5000
Pd 0.7500 0.2500 0.5000
! - ΔE_f (raw) (eV per atom) = -0.66
! - space group = No. 139

---

2.
! Zn2MoOs SCAN single point on PBEsol structure; values from VASP
&SYSTEM
  ibrav = 0, nat = 4, ntyp = 3
/
ATOMIC_SPECIES
Zn 65.41 Zn.upf
Mo 95.94 Mo.upf
Os 190.23 Os.upf
CELL_PARAMETERS angstrom
4.3695 -1.3770 0.0000
4.3695 1.3770 0.0000
-0.6417 0.0000 4.6948
ATOMIC_POSITIONS crystal
Zn 0.0000 0.0000 0.0000
Zn 0.2474 0.2474 0.7905
Mo 0.7520 0.7520 0.2936
Os 0.5027 0.5027 0.5029
! - distance to the lowest polymorph of the same formula (meV/atom) = 132
! - space group = No. 8
! - energy of formation (eV per atom) = 0.146

---

3.
! ReBiBS2 SCAN single point on PBEsol structure; values from VASP
&SYSTEM
  ibrav = 0, nat = 5, ntyp = 4
/
ATOMIC_SPECIES
Re 186.21 Re.upf
Bi 208.98 Bi.upf
B 10.81 B.upf
S 32.06 S.upf
CELL_PARAMETERS angstrom
5.2161 0.0000 0.0000
0.0000 5.2161 0.0000
0.0000 0.0000 5.3454
ATOMIC_POSITIONS crystal
Re 0.0000 0.0000 0.0000
Bi 0.0000 0.0000 0.5000
B 0.5000 0.5000 0.0000
S 0.0000 0.5000 0.5000
S 0.5000 0.0000 0.5000
! - ΔE_f (raw) (eV per atom) = 2.52
! - space group = No. 123

---

4.
! SrAs2PBr SCAN single point on PBEsol structure; values from VASP
&SYSTEM
  ibrav = 0, nat = 5, ntyp = 4
/
ATOMIC_SPECIES
Sr 87.62 Sr.upf
As 74.92 As.upf
P 30.97 P.upf
Br 79.90 Br.upf
CELL_PARAMETERS angstrom
5.8756 0.0000 0.0000
0.0000 5.8756 0.0000
0.0000 0.0000 5.5373
ATOMIC_POSITIONS crystal
Sr 0.0000 0.0000 0.0000
As 0.0000 0.5000 0.0000
As 0.5000 0.0000 0.0000
P 0.5000 0.5000 0.5000
Br 0.0000 0.0000 0.5000
! - ΔE_f (raw) (eV per atom) = 0.78
! - space group = No. 123

---

5.
! SiSI3 SCAN single point on PBEsol structure; values from VASP
&SYSTEM
  ibrav = 0, nat = 5, ntyp = 3
/
ATOMIC_SPECIES
Si 28.09 Si.upf
S 32.06 S.upf
I 126.90 I.upf
CELL_PARAMETERS angstrom
5.4348 0.0000 0.0000
0.0000 5.4348 0.0000
0.0000 0.0000 5.4348
ATOMIC_POSITIONS crystal
Si 0.0000 0.0000 0.0000
S 0.5000 0.5000 0.5000
I 0.0000 0.0000 0.5000
I 0.0000 0.5000 0.0000
I 0.5000 0.0000 0.0000
! - ΔE_f (raw) (eV per atom) = 0.61
! - space group = No. 221

---

6.
! Te2AsRh SCAN single point on PBEsol structure; values from VASP
&SYSTEM
  ibrav = 0, nat = 4, ntyp = 3
/
ATOMIC_SPECIES
Te 127.60 Te.upf
As 74.92 As.upf
Rh 102.91 Rh.upf
CELL_PARAMETERS angstrom
1.9099 1.1027 8.3333
-1.9099 1.1027 8.3333
0.0000 -2.2053 8.3333
ATOMIC_POSITIONS crystal
Te 0.1106 0.1106 0.1106
Te 0.8894 0.8894 0.8894
As 0.0000 0.0000 0.0000
Rh 0.5000 0.5000 0.5000
! - ΔE_f (raw) (eV per atom) = 0.01
! - space group = No. 166

---

7.
! Tc2RuBr SCAN single point on PBEsol structure; values from VASP
&SYSTEM
  ibrav = 0, nat = 4, ntyp = 3
/
ATOMIC_SPECIES
Tc 98.00 Tc.upf
Ru 101.07 Ru.upf
Br 79.90 Br.upf
CELL_PARAMETERS angstrom
-1.4594 2.1885 4.5039
1.4594 -2.1885 4.5039
1.4594 2.1885 -4.5039
ATOMIC_POSITIONS crystal
Tc 0.2293 0.2293 0.0000
Tc 0.7707 0.7707 0.0000
Ru 0.5000 0.0000 0.5000
Br 0.0000 0.5000 0.5000
! - distance to the lowest polymorph of the same formula (meV/atom) = 0
! - ΔE_f (raw) (eV per atom) = 0.87
! - space group = No. 71

---

8.
! AlTl2CoBi SCAN single point on PBEsol structure; values from VASP
&SYSTEM
  ibrav = 0, nat = 5, ntyp = 4
/
ATOMIC_SPECIES
Al 26.98 Al.upf
Tl 204.38 Tl.upf
Co 58.93 Co.upf
Bi 208.98 Bi.upf
CELL_PARAMETERS angstrom
5.2952 0.0000 0.0000
0.0000 5.2952 0.0000
0.0000 0.0000 4.4701
ATOMIC_POSITIONS crystal
Al 0.0000 0.0000 0.0000
Tl 0.0000 0.5000 0.0000
Tl 0.5000 0.0000 0.0000
Co 0.0000 0.0000 0.5000
Bi 0.5000 0.5000 0.5000
! - space group = No. 123
! - energy of formation (eV per atom) = 0.613

---

9.
! MnAl2Fe SCAN single point on PBEsol structure; values from VASP
&SYSTEM
  ibrav = 0, nat = 4, ntyp = 3
/
ATOMIC_SPECIES
Mn 54.94 Mn.upf
Al 26.98 Al.upf
Fe 55.84 Fe.upf
CELL_PARAMETERS angstrom
2.6948 -3.3614 0.0000
2.6948 3.3614 0.0000
0.0000 0.0000 2.7213
ATOMIC_POSITIONS crystal
Mn 0.0000 0.0000 0.0000
Al 0.0000 0.5000 0.5000
Al 0.5000 0.0000 0.5000
Fe 0.5000 0.5000 0.0000
! - space group = No. 65
! - energy of formation (eV per atom) = -0.404

---

10.
! CoAg4W SCAN single point on PBEsol structure; values from VASP
&SYSTEM
  ibrav = 0, nat = 6, ntyp = 3
/
ATOMIC_SPECIES
Co 58.93 Co.upf
Ag 107.87 Ag.upf
W 183.84 W.upf
CELL_PARAMETERS angstrom
0.0000 3.6433 3.6433
3.6433 0.0000 3.6433
3.6433 3.6433 0.0000
ATOMIC_POSITIONS crystal
Co 0.0000 0.0000 0.0000
Ag 0.3749 0.3749 0.3749
Ag 0.3749 0.3749 0.8752
Ag 0.3749 0.8752 0.3749
Ag 0.8752 0.3749 0.3749
W 0.7500 0.7500 0.7500
! - space group = No. 216
! - energy of formation (eV per atom) = 0.995

---

11.
! Zr2Co21B6 SCAN single point on PBEsol structure; values from VASP
&SYSTEM
  ibrav = 0, nat = 29, ntyp = 3
/
ATOMIC_SPECIES
Zr 91.22 Zr.upf
Co 58.93 Co.upf
B 10.81 B.upf
CELL_PARAMETERS angstrom
0.0000 5.2099 5.2099
5.2099 0.0000 5.2099
5.2099 5.2099 0.0000
ATOMIC_POSITIONS crystal
Zr 0.2500 0.2500 0.2500
Zr 0.7500 0.7500 0.7500
Co 0.0000 0.0000 0.0000
Co 0.0000 0.0000 0.3370
Co 0.0000 0.0000 0.6630
Co 0.0000 0.3370 0.0000
Co 0.0000 0.3370 0.6630
Co 0.0000 0.6630 0.0000
Co 0.0000 0.6630 0.3370
Co 0.1564 0.6145 0.6145
Co 0.3370 0.0000 0.0000
Co 0.3370 0.0000 0.6630
Co 0.3370 0.6630 0.0000
Co 0.3855 0.3855 0.3855
Co 0.3855 0.3855 0.8436
Co 0.3855 0.8436 0.3855
Co 0.6145 0.1564 0.6145
Co 0.6145 0.6145 0.1564
Co 0.6145 0.6145 0.6145
Co 0.6630 0.0000 0.0000
Co 0.6630 0.0000 0.3370
Co 0.6630 0.3370 0.0000
Co 0.8436 0.3855 0.3855
B 0.2732 0.2732 0.7268
B 0.2732 0.7268 0.2732
B 0.2732 0.7268 0.7268
B 0.7268 0.2732 0.2732
B 0.7268 0.2732 0.7268
B 0.7268 0.7268 0.2732
! - space group = No. 225
! - energy of formation (eV per atom) = -0.209

---

12.
! CeSi4Ni9 SCAN single point on PBEsol structure; values from VASP
&SYSTEM
  ibrav = 0, nat = 28, ntyp = 3
/
ATOMIC_SPECIES
Ce 140.12 Ce.upf
Si 28.09 Si.upf
Ni 58.69 Ni.upf
CELL_PARAMETERS angstrom
-3.8595 3.8595 5.6377
3.8595 -3.8595 5.6377
3.8595 3.8595 -5.6377
ATOMIC_POSITIONS crystal
Ce 0.2500 0.2500 0.0000
Ce 0.7500 0.7500 0.0000
Si 0.0533 0.5533 0.8419
Si 0.2113 0.0533 0.5000
Si 0.2887 0.7887 0.8419
Si 0.4467 0.2887 0.5000
Si 0.5533 0.7113 0.5000
Si 0.7113 0.2113 0.1581
Si 0.7887 0.9467 0.5000
Si 0.9467 0.4467 0.1581
Ni 0.0000 0.5000 0.5000
Ni 0.0543 0.8160 0.5000
Ni 0.0690 0.2036 0.2725
Ni 0.1840 0.6840 0.2383
Ni 0.2036 0.9310 0.1346
Ni 0.2964 0.4310 0.7275
Ni 0.3160 0.5543 0.5000
Ni 0.4310 0.7036 0.1346
Ni 0.4457 0.9457 0.7617
Ni 0.5000 0.0000 0.5000
Ni 0.5543 0.0543 0.2383
Ni 0.5690 0.2964 0.8654
Ni 0.6840 0.4457 0.5000
Ni 0.7036 0.5690 0.2725
Ni 0.7964 0.0690 0.8654
Ni 0.8160 0.3160 0.7617
Ni 0.9310 0.7964 0.7275
Ni 0.9457 0.1840 0.5000
! - ΔE_f (raw) (eV per atom) = -0.60
! - space group = No. 140